Record 1
# LaZrGa2Rh

A relaxed LaZrGa2Rh crystal (GGA-PBE, Alexandria).

Lattice parameters (Å, degrees): 5.326 5.220 5.326 90.00 90.00 90.00
Sites, in units of the cell vectors:
1 Rh 0.500 0.500 0.500
2 Ga 0.000 0.000 0.500
3 Ga 0.500 0.000 0.000
4 Zr 0.000 0.500 0.000
5 La 0.000 0.000 0.000

Values from the calculation:
E_form: 1546 meV/atom
Uncorrected energy: -3.830 eV per atom
Total magnetic moment: 0.00 μB per cell

***

Record 2
# Ca2YUS6

A relaxed Ca2YUS6 crystal (GGA-PBE, Alexandria).

Lattice parameters (Å, degrees): 5.316 7.376 7.376 90.00 90.00 90.00
Sites, in units of the cell vectors:
1 Ca 0.955 0.500 0.000
2 Ca 0.955 0.000 0.500
3 Y 0.634 0.500 0.500
4 U 0.678 0.000 0.000
5 S 0.721 0.245 0.245
6 S 0.721 0.245 0.755
7 S 0.151 0.500 0.500
8 S 0.192 0.000 0.000
9 S 0.721 0.755 0.755
10 S 0.721 0.755 0.245

Values from the calculation:
Uncorrected energy: -6.233 eV per atom
Total magnetic moment: 1.00 μB per cell
E_form (uncorrected): -1.58 eV/atom

***

Record 3
# K2CaTcTe

A relaxed K2CaTcTe crystal (GGA-PBE, Alexandria).

Lattice parameters (Å, degrees): 6.451 5.082 6.451 90.00 90.00 90.00
Sites, in units of the cell vectors:
1 K 0.000 0.000 0.500
2 K 0.500 0.000 0.000
3 Ca 0.000 0.000 0.000
4 Te 0.500 0.500 0.500
5 Tc 0.000 0.500 0.000

Values from the calculation:
Uncorrected energy: -2.633 eV per atom
Total magnetic moment: 2.95 μB per cell
E_form (uncorrected): 0.91 eV/atom

***

Record 4
# SrLi4Cd2Ag

A relaxed SrLi4Cd2Ag crystal (GGA-PBE, Alexandria).

Lattice parameters (Å, degrees): 4.723 4.723 9.550 75.69 75.69 60.00
Sites, in units of the cell vectors:
1 Sr 0.000 0.000 0.000
2 Li 0.407 0.407 0.779
3 Li 0.865 0.865 0.405
4 Li 0.135 0.135 0.595
5 Li 0.593 0.593 0.221
6 Cd 0.761 0.761 0.716
7 Cd 0.239 0.239 0.284
8 Ag 0.500 0.500 0.500

Values from the calculation:
E_form: -174 meV/atom
Uncorrected energy: -1.927 eV per atom
Total magnetic moment: 0.00 μB per cell

***

Record 5
# PmMgZr

A relaxed PmMgZr crystal (GGA-PBE, Alexandria).

Lattice parameters (Å, degrees): 3.389 3.389 7.324 103.38 103.38 90.00
Sites, in units of the cell vectors:
1 Mg 0.011 0.011 0.022
2 Zr 0.660 0.660 0.320
3 Pm 0.329 0.329 0.658

Values from the calculation:
E_form: 44 meV/atom
Uncorrected energy: -4.920 eV per atom
Energy above the most stable polymorph in this dataset: 0.000 eV per atom
Total magnetic moment: 0.00 μB per cell

***

Record 6
# CaPb2

A relaxed CaPb2 crystal (GGA-PBE, Alexandria).

Lattice parameters (Å, degrees): 4.801 4.801 12.859 56.17 56.17 59.54
Sites, in units of the cell vectors:
1 Ca 0.250 0.750 0.750
2 Ca 0.750 0.250 0.250
3 Pb 0.094 0.594 0.573
4 Pb 0.406 0.906 0.927
5 Pb 0.906 0.406 0.427
6 Pb 0.594 0.094 0.073

Values from the calculation:
E_form: -259 meV/atom
Uncorrected energy: -3.399 eV per atom
Total magnetic moment: 0.00 μB per cell